Entry 1:
Material: SrCaTi
Method: DFT, PBE
State: optimized geometry

```
SrCaTi
1.0
6.377 0.000 0.000
-3.188 5.523 0.000
0.000 0.000 12.417
Sr Ca Ti
2 2 2
Cartesian
0.000 0.000 3.104
0.000 0.000 9.312
0.000 3.682 3.104
3.188 1.841 9.312
0.000 0.000 0.000
0.000 0.000 6.208
```

Values from the calculation:
Polymorph energy (0 for the lowest one), meV per atom: 1569.0
Calculated formation energy, meV/atom: 1945
Space-group type: P6_3/mmc (194)
M_tot, μB per formula unit: 3.92
Calculated total energy, eV/atom: -1.91

Entry 2:
Material: SrCaTi
Method: DFT, PBE
State: optimized geometry

```
SrCaTi
1.0
3.697 0.000 0.000
1.843 6.467 0.000
0.005 3.177 8.727
Sr Ca Ti
2 2 2
Cartesian
0.925 1.515 1.135
4.618 8.129 7.592
2.773 4.529 2.650
2.770 5.114 6.077
0.926 2.503 4.687
4.618 7.141 4.040
```

Values from the calculation:
Polymorph energy (0 for the lowest one), meV per atom: 0.0
Calculated formation energy, meV/atom: 376
Space-group type: P-1 (2)
M_tot, μB per formula unit: 1.58
Calculated total energy, eV/atom: -3.48